Density functional theory data (GGA+U) for a relaxed structure of CoNiIrO6.

Lattice parameters (Å, degrees): 5.0306 5.0306 8.5218 90.00 90.00 120.00
Last column: magnetic moment on the atom in μB.
Positions (direct):
O 0.3510 0.3393 0.3744  0.01
O 0.3510 0.0117 0.1256  0.01
O 0.3393 0.3510 0.8744  0.01
O 0.3393 0.9883 0.6256  0.01
O 0.9883 0.6490 0.3744  0.01
O 0.6607 0.0117 0.3744  0.01
O 0.6490 0.9883 0.8744  0.01
O 0.6607 0.6490 0.1256  0.01
O 0.6490 0.6607 0.6256  0.01
O 0.0117 0.3510 0.6256  0.01
O 0.9883 0.3393 0.1256  0.01
O 0.0117 0.6607 0.8744  0.01
Ir 0.6667 0.3333 0.2500  -0.27
Ir 0.3333 0.6667 0.7500  -0.27
Ni 0.3333 0.6667 0.2500  1.59
Ni 0.6667 0.3333 0.7500  1.59
Co 0.0000 0.0000 0.0000  2.48
Co 0.0000 0.0000 0.5000  2.48

Results
E, eV/atom: -5.8029
Mass density, g/cm³: 7.217
V, A^3/atom: 10.38